1.
## Ba12In2Sn5 (PBE-GGA)

Data for a relaxed structure of Ba12In2Sn5.

Results
- size of the total moment (μB per atom) = 0.00
- formation enthalpy at 0 K (eV per atom) = -0.428
- raw total energy (eV/atom) = -2.98

Cell and atoms, written as extended XYZ:
```
19
Lattice="9.882 -4.308 0.000 9.882 4.308 0.000 -3.693 0.000 11.344" Properties=species:S:1:pos:R:3 pbc="T T T"
Ba -0.568 0.000 2.263
Ba 2.989 2.216 10.127
Ba 5.219 2.213 5.148
Ba 10.851 2.213 6.197
Ba 7.281 0.000 2.347
Ba 13.081 2.216 1.218
Ba 2.989 -2.216 10.127
Ba 8.789 0.000 8.997
Ba 5.219 -2.213 5.148
Ba 10.851 -2.213 6.197
Ba 13.081 -2.216 1.218
Ba 16.638 0.000 9.082
In 9.882 1.367 0.000
In 9.882 -1.367 0.000
Sn 0.337 0.000 9.483
Sn 2.721 0.000 3.938
Sn 8.035 0.000 5.672
Sn 13.350 0.000 7.406
Sn 15.734 0.000 1.862
```



2.
## Pu3SbI3 (PBE-GGA)

Data for a relaxed structure of Pu3SbI3.

Results
- size of the total moment (μB per atom) = 2.57
- raw total energy (eV/atom) = -8.25
- formation energy from raw total energies (eV per formula unit) = -5.96

Cell and atoms, written as extended XYZ:
```
28
Lattice="-6.312 6.312 6.312 6.312 -6.312 6.312 6.312 6.312 -6.312" Properties=species:S:1:pos:R:3 pbc="T T T"
Pu 1.644 1.578 -1.512
Pu 7.824 1.644 -1.578
Pu 1.578 -1.512 1.644
Pu 4.800 4.668 -1.578
Pu 4.668 1.578 1.512
Pu -1.512 1.644 1.578
Pu 4.668 -1.578 4.800
Pu 1.578 1.512 4.668
Pu 1.512 4.668 1.578
Pu 1.644 -1.578 7.824
Pu -1.578 7.824 1.644
Pu -1.578 4.800 4.668
Sb 4.734 1.578 -1.578
Sb 1.578 1.578 1.578
Sb 1.578 -1.578 4.734
Sb -1.578 4.734 1.578
I 7.890 1.520 1.636
I 7.890 -1.520 4.677
I 4.677 7.890 -1.520
I 4.792 1.636 4.734
I 4.734 4.792 1.636
I 1.636 7.890 1.520
I 7.833 4.677 4.734
I 1.636 4.734 4.792
I 1.520 1.636 7.890
I 4.734 7.833 4.677
I -1.520 4.677 7.890
I 4.677 4.734 7.833
```



3.
## BaCrPt (PBE-GGA)

Data for a relaxed structure of BaCrPt.

Results
- size of the total moment (μB per atom) = 0.14
- formation enthalpy at 0 K (eV per atom) = -0.161
- relative energy among the computed polymorphs (meV/atom) = 0.0
- raw total energy (eV/atom) = -6.02

Cell and atoms, written as extended XYZ:
```
6
Lattice="4.460 0.000 0.000 -2.218 3.879 0.000 -2.228 -1.287 9.687" Properties=species:S:1:pos:R:3 pbc="T T T"
Ba 0.000 0.000 0.000
Ba -2.227 1.306 5.966
Cr 0.006 2.589 3.171
Cr 2.231 1.296 2.490
Pt -0.004 0.006 3.401
Pt 0.002 0.011 7.875
```